PmPuPt2 GGA-PBE optimized geometry; formation energy = -0.88 eV/atom; total moment = 5.20 μB/cell; space group = R-3m (166); total energy = -8.672 eV per atom; energy above the lowest structure with this stoichiometry = 0.092 eV/atom
1.0
-2.998 -2.876 0.377
1.005 -3.969 0.799
-1.014 -1.069 6.860
Pm Pt Pu
1 2 1
Direct
0.500 0.500 0.500
0.256 0.256 0.233
0.744 0.744 0.767
0.000 0.000 0.000

PmPu2Pt3 GGA-PBE optimized geometry; formation energy = -0.83 eV/atom; total moment = 20.87 μB/cell; space group = Immm (71); total energy = -9.417 eV per atom
1.0
-2.301 0.595 5.293
-6.782 -4.027 -2.495
5.382 -4.617 -0.321
Pm Pu Pt
2 4 6
Direct
0.000 0.750 0.000
0.000 0.250 0.000
0.664 0.582 0.328
0.664 0.082 0.328
0.336 0.918 0.672
0.336 0.418 0.672
0.500 0.250 0.000
0.500 0.750 0.000
0.174 0.087 0.348
0.826 0.413 0.652
0.174 0.587 0.348
0.826 0.913 0.652

PmPuPt2 GGA-PBE optimized geometry; formation energy = -0.97 eV/atom; total moment = 5.52 μB/cell; space group = Amm2 (38); total energy = -8.764 eV per atom; energy above the lowest structure with this stoichiometry = 0.000 eV/atom
1.0
-1.470 3.574 -0.390
-1.903 -1.197 -3.793
-3.733 -3.331 2.924
Pm Pu Pt
1 1 2
Direct
0.723 0.000 0.983
0.446 0.500 0.431
0.171 0.500 0.881
0.992 0.000 0.522

PmPu2Pt GGA-PBE optimized geometry; formation energy = -0.02 eV/atom; total moment = 11.90 μB/cell; space group = R-3m (166); total energy = -9.883 eV per atom; energy above the lowest structure with this stoichiometry = 0.263 eV/atom
1.0
3.611 0.000 0.000
1.805 3.127 0.000
1.805 1.042 10.343
Pm Pt Pu
1 1 2
Direct
0.000 0.000 0.000
0.500 0.500 0.500
0.104 0.104 0.688
0.896 0.896 0.312

Pm2Pu3Pt4 GGA-PBE optimized geometry; formation energy = -0.89 eV/atom; total moment = 33.88 μB/cell; space group = P2_1/c (14); total energy = -9.409 eV per atom
1.0
-2.207 6.303 3.609
-1.768 -6.192 4.263
6.921 0.426 3.489
Pm Pu Pt
4 6 8
Direct
0.566 0.191 0.323
0.934 0.809 0.823
0.434 0.809 0.677
0.066 0.191 0.177
0.000 0.500 0.500
0.500 0.500 0.000
0.740 0.246 0.832
0.760 0.754 0.332
0.260 0.754 0.168
0.240 0.246 0.668
0.843 0.078 0.538
0.657 0.922 0.038
0.157 0.922 0.462
0.343 0.078 0.962
0.868 0.491 0.131
0.632 0.509 0.631
0.132 0.509 0.869
0.368 0.491 0.369

PmPu2Pt GGA-PBE optimized geometry; formation energy = -0.28 eV/atom; total moment = 11.69 μB/cell; space group = P4/mmm (123); total energy = -10.147 eV per atom; energy above the lowest structure with this stoichiometry = 0.000 eV/atom
1.0
-3.632 0.577 -0.288
-0.388 -0.638 3.612
1.069 7.440 1.428
Pm Pt Pu
1 1 2
Direct
0.500 0.500 0.500
0.500 0.500 0.000
0.000 0.000 0.801
0.000 0.000 0.199

PmPuPt GGA-PBE optimized geometry; formation energy = -0.69 eV/atom; total moment = 35.43 μB/cell; space group = P-62m (189); total energy = -9.064 eV per atom; energy above the lowest structure with this stoichiometry = 0.000 eV/atom
1.0
6.739 0.000 3.075
2.480 7.730 3.488
0.040 0.096 8.835
Pm Pu Pt
6 6 6
Direct
0.170 0.042 0.542
0.753 0.958 0.458
0.337 0.750 0.250
0.337 0.250 0.750
0.753 0.458 0.958
0.170 0.542 0.042
0.003 0.000 0.000
0.003 0.500 0.500
0.753 0.376 0.376
0.504 0.624 0.624
0.504 0.124 0.124
0.753 0.876 0.876
0.754 0.250 0.750
0.754 0.750 0.250
0.086 0.167 0.167
0.420 0.833 0.833
0.420 0.333 0.333
0.086 0.667 0.667

Pm3PuPt8 GGA-PBE optimized geometry; formation energy = -0.96 eV/atom; total moment = 5.49 μB/cell; space group = P3m1 (156); total energy = -7.366 eV per atom
1.0
5.496 0.000 0.000
-2.748 4.760 0.000
0.000 0.000 8.994
Pm Pu Pt
3 1 8
Direct
0.667 0.333 0.440
0.667 0.333 0.068
0.000 0.000 0.929
0.000 0.000 0.560
0.333 0.667 0.501
0.333 0.667 0.000
0.502 0.003 0.750
0.502 0.498 0.750
0.997 0.498 0.750
0.165 0.329 0.250
0.165 0.835 0.250
0.671 0.835 0.250

Pm3PuPt3 GGA-PBE optimized geometry; formation energy = -0.79 eV/atom; total moment = 11.90 μB/cell; space group = C2/m (12); total energy = -7.465 eV per atom
1.0
-1.666 6.144 4.127
-5.191 -3.131 -4.562
-1.015 -4.862 5.601
Pm Pu Pt
6 2 6
Direct
0.669 0.669 0.402
0.200 0.800 0.500
0.800 0.200 0.500
0.235 0.765 0.000
0.765 0.235 0.000
0.331 0.331 0.598
0.732 0.732 0.982
0.268 0.268 0.018
0.019 0.019 0.283
0.840 0.538 0.726
0.538 0.840 0.726
0.160 0.462 0.274
0.462 0.160 0.274
0.981 0.981 0.717

PmPuPt2 GGA-PBE optimized geometry; formation energy = -0.90 eV/atom; total moment = 5.63 μB/cell; space group = P4/mmm (123); total energy = -8.686 eV per atom; energy above the lowest structure with this stoichiometry = 0.078 eV/atom
1.0
3.525 0.000 0.000
0.000 5.036 0.000
0.000 0.000 5.036
Pm Pt Pu
1 2 1
Direct
0.500 0.000 0.000
0.000 0.000 0.500
0.000 0.500 0.000
0.500 0.500 0.500

PmPuPt GGA-PBE optimized geometry; formation energy = -0.44 eV/atom; total moment = 6.02 μB/cell; space group = P3m1 (156); total energy = -8.811 eV per atom; energy above the lowest structure with this stoichiometry = 0.252 eV/atom
1.0
3.892 0.000 0.000
0.000 4.740 0.000
0.000 -2.370 4.105
Pm Pt Pu
1 1 1
Direct
0.300 0.333 0.667
0.968 0.000 0.000
0.732 0.667 0.333

PmPuPt10 GGA-PBE optimized geometry; formation energy = -0.62 eV/atom; total moment = 4.88 μB/cell; space group = Pmmm (47); total energy = -7.246 eV per atom
1.0
4.441 0.000 0.000
0.000 5.399 0.000
0.000 0.000 9.327
Pm Pu Pt
1 1 10
Direct
0.000 0.000 0.000
0.000 0.500 0.500
0.000 0.000 0.335
0.000 0.500 0.831
0.000 0.500 0.169
0.000 0.000 0.665
0.500 0.000 0.500
0.500 0.500 0.000
0.500 0.250 0.250
0.500 0.750 0.750
0.500 0.750 0.250
0.500 0.250 0.750

Calculated calculated volume in order - 24.825; 24.557; 23.365; 29.193; 23.803; 26.020; 25.435; 19.607; 26.019; 22.346; 25.241; 18.637 A^3/atom
Calculated N(E_F) in order - 12.73; 43.80; 12.86; 17.66; 57.04; 14.77; 39.12; 17.71; 24.27; 11.77; 8.99; 19.74 states/eV per cell